Computed, not measured: an optimized crystal structure of PtN2Cl2 at the GGA-PBEsol level of DFT.

Unit cell a=5.108 b=5.108 c=5.108 alpha=103.06 beta=103.06 gamma=123.24
Positions (direct):
Pt 0.000 0.000 0.000
N 0.383 0.383 0.000
N 0.617 0.617 0.000
Cl 0.250 0.750 0.500
Cl 0.750 0.250 0.500

Raw formation energy in eV/atom: 0.32
Space group: I4/mmm
Volume in Å³/f.u.: 98.1

Computed, not measured: an optimized crystal structure of Rb2N2Cl at the GGA-PBEsol level of DFT.

Unit cell a=7.906 b=7.906 c=3.712 alpha=90.00 beta=90.00 gamma=90.00
Positions (direct):
Rb 0.227 0.273 0.000
Rb 0.273 0.773 0.000
Rb 0.727 0.227 0.000
Rb 0.773 0.727 0.000
N 0.053 0.553 0.500
N 0.447 0.053 0.500
N 0.553 0.947 0.500
N 0.947 0.447 0.500
Cl 0.000 0.000 0.500
Cl 0.500 0.500 0.500

Raw formation energy in eV/atom: -0.82
Space group: P4/mbm
Volume in Å³/f.u.: 116.0

Computed, not measured: an optimized crystal structure of RbSeN2Cl at the GGA-PBEsol level of DFT.

Unit cell a=5.490 b=5.490 c=6.575 alpha=90.00 beta=90.00 gamma=90.00
Positions (direct):
Rb 0.000 0.000 0.000
Se 0.000 0.000 0.500
N 0.000 0.500 0.000
N 0.500 0.000 0.000
Cl 0.500 0.500 0.500

Raw formation energy in eV/atom: 2.17
Space group: P4/mmm
Volume in Å³/f.u.: 198.2

Computed, not measured: an optimized crystal structure of ReN2Cl at the GGA-PBEsol level of DFT.

Unit cell a=6.837 b=6.837 c=6.837 alpha=24.70 beta=24.70 gamma=24.70
Positions (direct):
Re 0.000 0.000 0.000
N 0.093 0.093 0.093
N 0.907 0.907 0.907
Cl 0.500 0.500 0.500

Raw formation energy in eV/atom: 1.61
Space group: R-3m
Volume in Å³/f.u.: 49.1

Computed, not measured: an optimized crystal structure of Re2NCl at the GGA-PBEsol level of DFT.

Unit cell a=4.031 b=4.031 c=4.031 alpha=60.00 beta=60.00 gamma=60.00
Positions (direct):
Re 0.250 0.250 0.250
Re 0.750 0.750 0.750
N 0.000 0.000 0.000
Cl 0.500 0.500 0.500

Raw formation energy in eV/atom: 1.48
Space group: Fm-3m
Volume in Å³/f.u.: 46.3

Computed, not measured: an optimized crystal structure of ReNCl3 at the GGA-PBEsol level of DFT.

Unit cell a=4.735 b=4.735 c=4.735 alpha=90.00 beta=90.00 gamma=90.00
Positions (direct):
Re 0.000 0.000 0.000
N 0.500 0.500 0.500
Cl 0.000 0.000 0.500
Cl 0.000 0.500 0.000
Cl 0.500 0.000 0.000

Raw formation energy in eV/atom: 1.02
Space group: Pm-3m
Volume in Å³/f.u.: 106.1

Computed, not measured: an optimized crystal structure of Sc2ReNCl at the GGA-PBEsol level of DFT.

Unit cell a=4.289 b=4.289 c=4.319 alpha=90.00 beta=90.00 gamma=90.00
Positions (direct):
Sc 0.000 0.500 0.000
Sc 0.500 0.000 0.000
Re 0.000 0.000 0.500
N 0.500 0.500 0.000
Cl 0.500 0.500 0.500

Raw formation energy in eV/atom: 0.27
Space group: P4/mmm
Volume in Å³/f.u.: 79.5

Computed, not measured: an optimized crystal structure of RhNCl3 at the GGA-PBEsol level of DFT.

Unit cell a=4.689 b=4.689 c=4.689 alpha=90.00 beta=90.00 gamma=90.00
Positions (direct):
Rh 0.000 0.000 0.000
N 0.500 0.500 0.500
Cl 0.000 0.000 0.500
Cl 0.000 0.500 0.000
Cl 0.500 0.000 0.000

Raw formation energy in eV/atom: 0.88
Space group: Pm-3m
Volume in Å³/f.u.: 103.1

Computed, not measured: an optimized crystal structure of RhSe2NCl at the GGA-PBEsol level of DFT.

Unit cell a=5.103 b=5.103 c=3.562 alpha=90.00 beta=90.00 gamma=90.00
Positions (direct):
Rh 0.000 0.000 0.000
Se 0.000 0.500 0.000
Se 0.500 0.000 0.000
N 0.000 0.000 0.500
Cl 0.500 0.500 0.500

Raw formation energy in eV/atom: 0.56
Space group: P4/mmm
Volume in Å³/f.u.: 92.7

Computed, not measured: an optimized crystal structure of SbSN2Cl at the GGA-PBEsol level of DFT.

Unit cell a=3.954 b=3.954 c=4.463 alpha=90.00 beta=90.00 gamma=90.00
Positions (direct):
Sb 0.000 0.000 0.000
S 0.500 0.500 0.000
N 0.000 0.500 0.500
N 0.500 0.000 0.500
Cl 0.500 0.500 0.500

Raw formation energy in eV/atom: 1.79
Space group: P4/mmm
Volume in Å³/f.u.: 69.8

Computed, not measured: an optimized crystal structure of SbSNCl2 at the GGA-PBEsol level of DFT.

Unit cell a=4.250 b=4.250 c=4.604 alpha=90.00 beta=90.00 gamma=90.00
Positions (direct):
Sb 0.000 0.000 0.000
S 0.500 0.500 0.000
N 0.500 0.500 0.500
Cl 0.000 0.500 0.500
Cl 0.500 0.000 0.500

Raw formation energy in eV/atom: 0.71
Space group: P4/mmm
Volume in Å³/f.u.: 83.2

Computed, not measured: an optimized crystal structure of SbS2NCl6 at the GGA-PBEsol level of DFT.

Unit cell a=7.062 b=7.062 c=7.062 alpha=120.97 beta=112.56 gamma=95.84
Positions (direct):
Sb 0.000 0.000 0.000
S 0.309 0.500 0.809
S 0.691 0.500 0.191
N 0.500 0.500 0.000
Cl 0.177 0.424 0.246
Cl 0.177 0.931 0.754
Cl 0.304 0.000 0.304
Cl 0.696 0.000 0.696
Cl 0.823 0.069 0.246
Cl 0.823 0.576 0.754

Raw formation energy in eV/atom: -0.36
Space group: Immm
Volume in Å³/f.u.: 258.2

Computed, not measured: an optimized crystal structure of ScSNCl2 at the GGA-PBEsol level of DFT.

Unit cell a=4.175 b=4.175 c=4.449 alpha=90.00 beta=90.00 gamma=90.00
Positions (direct):
Sc 0.000 0.000 0.000
S 0.500 0.500 0.000
N 0.500 0.500 0.500
Cl 0.000 0.500 0.500
Cl 0.500 0.000 0.500

Raw formation energy in eV/atom: 0.10
Space group: P4/mmm
Volume in Å³/f.u.: 77.5

Computed, not measured: an optimized crystal structure of Se2SNCl at the GGA-PBEsol level of DFT.

Unit cell a=5.151 b=5.151 c=3.331 alpha=90.00 beta=90.00 gamma=90.00
Positions (direct):
Se 0.000 0.500 0.000
Se 0.500 0.000 0.000
S 0.000 0.000 0.500
N 0.500 0.500 0.500
Cl 0.500 0.500 0.000

Raw formation energy in eV/atom: 1.64
Space group: P4/mmm
Volume in Å³/f.u.: 88.4

Computed, not measured: an optimized crystal structure of TlS2NCl at the GGA-PBEsol level of DFT.

Unit cell a=5.167 b=5.167 c=5.359 alpha=90.00 beta=90.00 gamma=90.00
Positions (direct):
Tl 0.000 0.000 0.000
S 0.000 0.500 0.000
S 0.500 0.000 0.000
N 0.500 0.500 0.500
Cl 0.000 0.000 0.500

Raw formation energy in eV/atom: 1.53
Space group: P4/mmm
Volume in Å³/f.u.: 143.1

Computed, not measured: an optimized crystal structure of TlSN2Cl at the GGA-PBEsol level of DFT.

Unit cell a=4.258 b=4.258 c=5.583 alpha=90.00 beta=90.00 gamma=90.00
Positions (direct):
Tl 0.000 0.000 0.000
S 0.000 0.000 0.500
N 0.000 0.500 0.000
N 0.500 0.000 0.000
Cl 0.500 0.500 0.500

Raw formation energy in eV/atom: 1.95
Space group: P4/mmm
Volume in Å³/f.u.: 101.2

Computed, not measured: an optimized crystal structure of WS2NCl at the GGA-PBEsol level of DFT.

Unit cell a=4.706 b=4.706 c=3.844 alpha=90.00 beta=90.00 gamma=90.00
Positions (direct):
W 0.000 0.000 0.000
S 0.000 0.500 0.000
S 0.500 0.000 0.000
N 0.000 0.000 0.500
Cl 0.500 0.500 0.500

Raw formation energy in eV/atom: 0.24
Space group: P4/mmm
Volume in Å³/f.u.: 85.1

Computed, not measured: an optimized crystal structure of WSNCl5 at the GGA-PBEsol level of DFT.

Unit cell a=5.911 b=9.246 c=16.063 alpha=90.00 beta=108.12 gamma=90.00
Positions (direct):
W 0.094 0.147 0.091
W 0.094 0.353 0.591
W 0.906 0.647 0.409
W 0.906 0.853 0.909
S 0.405 0.710 0.245
S 0.405 0.790 0.745
S 0.595 0.210 0.255
S 0.595 0.290 0.755
N 0.359 0.184 0.178
N 0.359 0.316 0.678
N 0.641 0.684 0.322
N 0.641 0.816 0.822
Cl 0.061 0.013 0.833
Cl 0.061 0.487 0.333
Cl 0.146 0.672 0.886
Cl 0.146 0.828 0.386
Cl 0.184 0.222 0.486
Cl 0.184 0.278 0.986
Cl 0.268 0.562 0.541
Cl 0.268 0.938 0.041
Cl 0.429 0.574 0.147
Cl 0.429 0.926 0.647
Cl 0.571 0.074 0.353
Cl 0.571 0.426 0.853
Cl 0.732 0.062 0.959
Cl 0.732 0.438 0.459
Cl 0.816 0.722 0.014
Cl 0.816 0.778 0.514
Cl 0.854 0.172 0.614
Cl 0.854 0.328 0.114
Cl 0.939 0.513 0.667
Cl 0.939 0.987 0.167

Raw formation energy in eV/atom: -0.60
Space group: P2_1/c
Volume in Å³/f.u.: 208.6

Computed, not measured: an optimized crystal structure of ZnSN2Cl at the GGA-PBEsol level of DFT.

Unit cell a=3.449 b=3.449 c=6.731 alpha=90.00 beta=90.00 gamma=90.00
Positions (direct):
Zn 0.000 0.000 0.000
S 0.500 0.500 0.000
N 0.000 0.500 0.500
N 0.500 0.000 0.500
Cl 0.500 0.500 0.500

Raw formation energy in eV/atom: 1.81
Space group: P4/mmm
Volume in Å³/f.u.: 80.1

Computed, not measured: an optimized crystal structure of SbN2Cl at the GGA-PBEsol level of DFT.

Unit cell a=6.904 b=6.904 c=6.904 alpha=26.60 beta=26.60 gamma=26.60
Positions (direct):
Sb 0.000 0.000 0.000
N 0.111 0.111 0.111
N 0.889 0.889 0.889
Cl 0.500 0.500 0.500

Raw formation energy in eV/atom: 1.84
Space group: R-3m
Volume in Å³/f.u.: 58.1

Computed, not measured: an optimized crystal structure of Sb2TeNCl at the GGA-PBEsol level of DFT.

Unit cell a=5.294 b=5.294 c=5.314 alpha=90.00 beta=90.00 gamma=90.00
Positions (direct):
Sb 0.000 0.500 0.000
Sb 0.500 0.000 0.000
Te 0.000 0.000 0.500
N 0.500 0.500 0.500
Cl 0.000 0.000 0.000

Raw formation energy in eV/atom: 1.77
Space group: P4/mmm
Volume in Å³/f.u.: 148.9

Computed, not measured: an optimized crystal structure of Sc2NCl2 at the GGA-PBEsol level of DFT.

Unit cell a=3.322 b=3.322 c=9.172 alpha=90.00 beta=90.00 gamma=120.00
Positions (direct):
Sc 0.333 0.667 0.371
Sc 0.667 0.333 0.629
N 0.000 0.000 0.500
Cl 0.333 0.667 0.811
Cl 0.667 0.333 0.189

Raw formation energy in eV/atom: -2.10
Space group: P-3m1
Volume in Å³/f.u.: 87.6

Computed, not measured: an optimized crystal structure of Sc4NCl6 at the GGA-PBEsol level of DFT.

Unit cell a=11.510 b=11.895 c=3.440 alpha=90.00 beta=90.00 gamma=90.00
Positions (direct):
Sc 0.098 0.081 0.000
Sc 0.124 0.859 0.500
Sc 0.376 0.359 0.500
Sc 0.402 0.581 0.000
Sc 0.598 0.419 0.000
Sc 0.624 0.641 0.500
Sc 0.876 0.141 0.500
Sc 0.902 0.919 0.000
N 0.000 0.000 0.500
N 0.500 0.500 0.500
Cl 0.022 0.740 0.000
Cl 0.227 0.185 0.500
Cl 0.239 0.437 0.000
Cl 0.261 0.937 0.000
Cl 0.273 0.685 0.500
Cl 0.478 0.240 0.000
Cl 0.522 0.760 0.000
Cl 0.727 0.315 0.500
Cl 0.739 0.063 0.000
Cl 0.761 0.563 0.000
Cl 0.773 0.815 0.500
Cl 0.978 0.260 0.000

Raw formation energy in eV/atom: -2.04
Space group: Pbam
Volume in Å³/f.u.: 235.5

Computed, not measured: an optimized crystal structure of ScTa2NCl at the GGA-PBEsol level of DFT.

Unit cell a=4.933 b=4.933 c=3.902 alpha=90.00 beta=90.00 gamma=90.00
Positions (direct):
Sc 0.000 0.000 0.000
Ta 0.000 0.500 0.000
Ta 0.500 0.000 0.000
N 0.000 0.000 0.500
Cl 0.500 0.500 0.500

Raw formation energy in eV/atom: 1.75
Space group: P4/mmm
Volume in Å³/f.u.: 95.0

Computed, not measured: an optimized crystal structure of SeNCl2 at the GGA-PBEsol level of DFT.

Unit cell a=9.306 b=9.306 c=9.306 alpha=20.44 beta=20.44 gamma=20.44
Positions (direct):
Se 0.000 0.000 0.000
N 0.500 0.500 0.500
Cl 0.083 0.083 0.083
Cl 0.917 0.917 0.917

Raw formation energy in eV/atom: 1.28
Space group: R-3m
Volume in Å³/f.u.: 86.1

Computed, not measured: an optimized crystal structure of SrSeN2Cl at the GGA-PBEsol level of DFT.

Unit cell a=4.792 b=4.792 c=6.133 alpha=90.00 beta=90.00 gamma=90.00
Positions (direct):
Sr 0.000 0.000 0.000
Se 0.000 0.000 0.500
N 0.000 0.500 0.000
N 0.500 0.000 0.000
Cl 0.500 0.500 0.500

Raw formation energy in eV/atom: 1.48
Space group: P4/mmm
Volume in Å³/f.u.: 140.8